1.
9
Lattice="6.3857 0.0000 0.0000 -1.9601 6.3586 0.0000 -0.4160 -0.4680 9.3452" Properties=species:S:1:pos:R:3 comment="RbCuIBr6 | Alexandria | GGA-PBE | relaxed" e_form_raw_ev_per_atom=-0.49 spacegroup="P1, No. 1" pbc="T T T"
Rb 0.0000 0.0000 0.0000
Cu 3.0637 1.7784 7.2177
I 2.0818 3.8620 4.0547
Br 0.2360 3.4475 2.2006
Br 1.4850 1.4673 5.3596
Br 0.7803 5.8596 7.8324
Br 4.8207 -0.1172 3.1904
Br 4.2956 2.8716 0.0492
Br 4.0219 3.7611 6.1865


2.
5
Lattice="3.7654 0.0000 0.0000 0.0000 3.7654 0.0000 0.0000 0.0000 5.6165" Properties=species:S:1:pos:R:3 comment="PdBrO2F | Alexandria | GGA-PBE | relaxed" e_form_raw_ev_per_atom=0.47 spacegroup="P4/mmm, No. 123" pbc="T T T"
Pd 0.0000 0.0000 0.0000
Br 1.8827 1.8827 2.8083
O 0.0000 1.8827 2.8083
O 1.8827 0.0000 2.8083
F 1.8827 1.8827 0.0000